{"formula": "LaNiSbAsPd", "functional": "GGA-PBE", "state": "relaxed", "lattice_angstrom": [[-0.712, 3.954, -2.002], [-3.358, -1.805, -2.369], [-6.410, 2.488, 7.191]], "species": ["As", "As", "La", "La", "Ni", "Ni", "Pd", "Pd", "Sb", "Sb"], "fractional_positions": [[0.000, 0.000, 0.000], [0.500, 0.500, 0.000], [0.500, 0.000, 0.232], [0.000, 0.500, 0.768], [0.000, 0.500, 0.096], [0.500, 0.000, 0.904], [0.000, 0.000, 0.500], [0.500, 0.500, 0.500], [0.000, 0.500, 0.351], [0.500, 0.000, 0.649]], "de_polymorph_kcal_per_mol_atoms": 0.00, "magmom_total_mub_per_fu": 0.1, "energy_ev_per_cell": -58.07}

---

{"formula": "MgCdSO", "functional": "GGA-PBE", "state": "relaxed", "lattice_angstrom": [[2.298, -0.366, 1.941], [0.007, -5.387, -1.026], [5.850, 0.846, -4.403]], "species": ["Cd", "Cd", "Mg", "Mg", "O", "O", "S", "S"], "fractional_positions": [[0.844, 0.250, 0.313], [0.156, 0.750, 0.687], [0.462, 0.750, 0.076], [0.538, 0.250, 0.924], [0.000, 0.000, 0.000], [0.000, 0.500, 0.000], [0.807, 0.750, 0.385], [0.193, 0.250, 0.615]], "de_polymorph_kcal_per_mol_atoms": 8.96, "energy_ev_per_cell": -31.96}

---

{"formula": "BeCu2Tc", "functional": "GGA-PBE", "state": "relaxed", "lattice_angstrom": [[3.363, -2.185, 0.555], [0.072, -2.930, 2.793], [0.103, -3.883, -1.142]], "species": ["Be", "Cu", "Cu", "Tc"], "fractional_positions": [[0.500, 0.500, 0.500], [0.000, 0.000, 0.000], [0.750, 0.750, 0.750], [0.250, 0.250, 0.250]], "magmom_total_mub_per_fu": 1.4, "energy_ev_per_cell": -20.58}

---

{"formula": "DyEr4Tm2Te2Pd2", "functional": "GGA-PBE", "state": "relaxed", "lattice_angstrom": [[6.830, -4.948, 4.054], [2.131, 8.274, -3.816], [-3.130, -5.785, 6.656]], "species": ["Dy", "Er", "Er", "Er", "Er", "Pd", "Pd", "Te", "Te", "Tm", "Tm"], "fractional_positions": [[0.681, 0.681, 0.000], [0.394, 0.264, 0.129], [0.373, 0.056, 0.317], [0.739, 0.056, 0.683], [0.135, 0.264, 0.871], [0.990, 0.753, 0.237], [0.516, 0.753, 0.763], [0.019, 0.019, 0.000], [0.416, 0.916, 0.500], [0.772, 0.416, 0.356], [0.060, 0.416, 0.644]], "magmom_total_mub_per_fu": 0.0, "energy_ev_per_cell": -57.81}

---

{"formula": "YTlAgAu", "functional": "GGA-PBE", "state": "relaxed", "lattice_angstrom": [[0.000, 3.534, 3.534], [3.534, 0.000, 3.534], [3.534, 3.534, 0.000]], "species": ["Ag", "Au", "Tl", "Y"], "fractional_positions": [[0.250, 0.250, 0.250], [0.750, 0.750, 0.750], [0.500, 0.500, 0.500], [0.000, 0.000, 0.000]], "de_polymorph_kcal_per_mol_atoms": 0.00, "magmom_total_mub_per_fu": 0.0, "energy_ev_per_cell": -16.57}

---

{"formula": "Be2SnMo", "functional": "GGA-PBE", "state": "relaxed", "lattice_angstrom": [[0.000, 3.074, 3.074], [3.074, 0.000, 3.074], [3.074, 3.074, 0.000]], "species": ["Be", "Be", "Mo", "Sn"], "fractional_positions": [[0.000, 0.000, 0.000], [0.750, 0.750, 0.750], [0.250, 0.250, 0.250], [0.500, 0.500, 0.500]], "magmom_total_mub_per_fu": 0.0, "energy_ev_per_cell": -19.54}

---

Q: Which formula does entry 2 have?
A: MgCdSO